[1]
Computed, not measured: a relaxed TcP2WS crystal at the PBE-GGA level of DFT.

DFT total energy ... -6.644 eV per atom
DOS at the Fermi energy ... 0.764 states/eV per atom
ΔE to the lowest computed polymorph ... 0 meV per atom
Total magnetization ... 3.7 Bohr magnetons per cell

Unit cell a=4.758 b=4.758 c=4.547 alpha=90.00 beta=90.00 gamma=90.00
Space group P4/mmm (No. 123)
Asymmetric unit:
Tc (0.000, 0.000, 0.000) x1
P (0.000, 0.500, 0.500) x2
W (0.500, 0.500, 0.500) x1
S (0.500, 0.500, 0.000) x1

***

[2]
Computed, not measured: a relaxed TcPWS2 crystal at the PBE-GGA level of DFT.

DFT total energy ... -6.196 eV per atom
DOS at the Fermi energy ... 0.861 states/eV per atom
ΔE to the lowest computed polymorph ... 333 meV per atom
Total magnetization ... 2.7 Bohr magnetons per cell

Unit cell a=4.526 b=4.526 c=4.685 alpha=90.00 beta=90.00 gamma=90.00
Space group P4/mmm (No. 123)
Asymmetric unit:
Tc (0.000, 0.000, 0.000) x1
P (0.000, 0.000, 0.500) x1
W (0.500, 0.500, 0.500) x1
S (0.000, 0.500, 0.000) x2

***

[3]
Computed, not measured: a relaxed TcPWS2 crystal at the PBE-GGA level of DFT.

DFT total energy ... -6.529 eV per atom
DOS at the Fermi energy ... 0.549 states/eV per atom
ΔE to the lowest computed polymorph ... 0 meV per atom
Total magnetization ... 4.4 Bohr magnetons per cell

Unit cell a=4.598 b=4.598 c=4.914 alpha=90.00 beta=90.00 gamma=90.00
Space group P4/mmm (No. 123)
Asymmetric unit:
Tc (0.000, 0.000, 0.000) x1
P (0.500, 0.500, 0.000) x1
W (0.500, 0.500, 0.500) x1
S (0.000, 0.500, 0.500) x2

***

[4]
Computed, not measured: a relaxed TcP2WS crystal at the PBE-GGA level of DFT.

DFT total energy ... -6.290 eV per atom
DOS at the Fermi energy ... 1.956 states/eV per atom
ΔE to the lowest computed polymorph ... 354 meV per atom
Total magnetization ... 0.0 Bohr magnetons per cell

Unit cell a=4.535 b=4.535 c=4.513 alpha=90.00 beta=90.00 gamma=90.00
Space group P4/mmm (No. 123)
Asymmetric unit:
Tc (0.000, 0.000, 0.000) x1
P (0.000, 0.500, 0.000) x2
W (0.500, 0.500, 0.500) x1
S (0.000, 0.000, 0.500) x1

***

[5]
Computed, not measured: a relaxed YTcPS2 crystal at the PBE-GGA level of DFT.

DFT total energy ... -6.476 eV per atom
DOS at the Fermi energy ... 0.722 states/eV per atom
ΔE to the lowest computed polymorph ... 0 meV per atom
Total magnetization ... 0.8 Bohr magnetons per cell

Unit cell a=4.813 b=4.813 c=4.424 alpha=90.00 beta=90.00 gamma=90.00
Space group P4/mmm (No. 123)
Asymmetric unit:
Y (0.000, 0.000, 0.000) x1
Tc (0.500, 0.500, 0.500) x1
P (0.500, 0.500, 0.000) x1
S (0.000, 0.500, 0.500) x2

***

[6]
Computed, not measured: a relaxed YTcPS2 crystal at the PBE-GGA level of DFT.

DFT total energy ... -5.458 eV per atom
DOS at the Fermi energy ... 0.643 states/eV per atom
ΔE to the lowest computed polymorph ... 1018 meV per atom
Total magnetization ... 3.3 Bohr magnetons per cell

Unit cell a=5.134 b=5.134 c=5.333 alpha=90.00 beta=90.00 gamma=90.00
Space group P4/mmm (No. 123)
Asymmetric unit:
Y (0.000, 0.000, 0.000) x1
Tc (0.500, 0.500, 0.500) x1
P (0.000, 0.000, 0.500) x1
S (0.000, 0.500, 0.000) x2

***

[7]
Computed, not measured: a relaxed YTcP2S crystal at the PBE-GGA level of DFT.

DFT total energy ... -6.636 eV per atom
DOS at the Fermi energy ... 0.679 states/eV per atom
ΔE to the lowest computed polymorph ... 0 meV per atom
Total magnetization ... 0.0 Bohr magnetons per cell

Unit cell a=4.471 b=4.471 c=5.184 alpha=90.00 beta=90.00 gamma=90.00
Space group P4/mmm (No. 123)
Asymmetric unit:
Y (0.000, 0.000, 0.000) x1
Tc (0.500, 0.500, 0.500) x1
P (0.000, 0.500, 0.500) x2
S (0.500, 0.500, 0.000) x1

***

[8]
Computed, not measured: a relaxed YTcP2S crystal at the PBE-GGA level of DFT.

DFT total energy ... -5.360 eV per atom
DOS at the Fermi energy ... 0.768 states/eV per atom
ΔE to the lowest computed polymorph ... 1277 meV per atom
Total magnetization ... 3.2 Bohr magnetons per cell

Unit cell a=5.248 b=5.248 c=5.089 alpha=90.00 beta=90.00 gamma=90.00
Space group P4/mmm (No. 123)
Asymmetric unit:
Y (0.000, 0.000, 0.000) x1
Tc (0.500, 0.500, 0.500) x1
P (0.000, 0.500, 0.000) x2
S (0.000, 0.000, 0.500) x1